Entry a
VASP calculation (GGA-PBE) on an optimized crystal structure of LiZrB.

Results
- Total moment: 0.00 μB/f.u.
- Calculated density: 3.60 g cm⁻³
- Fermi-level density of states: 1.999 states/eV/f.u.
- Space-group type: C2/m

Unit cell a=3.179 b=3.179 c=11.628 alpha=97.43 beta=97.43 gamma=60.01
Fractional positions:
Li 0.207 0.207 0.116
Li 0.793 0.793 0.884
Zr 0.047 0.047 0.649
Zr 0.953 0.953 0.351
B 0.333 0.333 0.500
B 0.667 0.667 0.500



Entry b
VASP calculation (GGA-PBE) on an optimized crystal structure of LiZrB.

Results
- Total moment: 0.00 μB/f.u.
- Calculated density: 4.45 g cm⁻³
- Fermi-level density of states: 1.831 states/eV/f.u.
- Space-group type: C2/m

Unit cell a=5.015 b=5.015 c=5.797 alpha=112.86 beta=112.86 gamma=37.74
Fractional positions:
Li 0.245 0.245 0.329
Li 0.755 0.755 0.671
Zr 0.000 0.000 0.500
Zr 0.500 0.500 0.000
B 0.218 0.218 0.956
B 0.782 0.782 0.044



Entry c
VASP calculation (GGA-PBE) on an optimized crystal structure of LiZrB.

Results
- Total moment: 0.00 μB/f.u.
- Calculated density: 3.76 g cm⁻³
- Fermi-level density of states: 2.079 states/eV/f.u.
- Space-group type: Cmcm

Unit cell a=9.383 b=9.383 c=3.119 alpha=90.00 beta=90.00 gamma=159.50
Fractional positions:
Li 0.204 0.796 0.750
Li 0.796 0.204 0.250
Zr 0.423 0.577 0.750
Zr 0.577 0.423 0.250
B 0.021 0.979 0.750
B 0.979 0.021 0.250



Verdict on stability: entry b comes out at the bottom.



Entry a
VASP calculation (GGA-PBE) on an optimized crystal structure of LiZrB.

Results
- Total moment: 0.00 μB/f.u.
- Calculated density: 3.60 g cm⁻³
- Fermi-level density of states: 2.060 states/eV/f.u.
- Space-group type: Cm

Unit cell a=3.178 b=3.178 c=11.618 alpha=97.63 beta=97.63 gamma=60.01
Fractional positions:
Li 0.000 0.000 0.000
Li 0.748 0.748 0.231
Zr 0.157 0.157 0.466
Zr 0.253 0.253 0.764
B 0.539 0.539 0.615
B 0.872 0.872 0.615



Entry b
VASP calculation (GGA-PBE) on an optimized crystal structure of LiZrB.

Results
- Total moment: 0.00 μB/f.u.
- Calculated density: 4.84 g cm⁻³
- Fermi-level density of states: 0.468 states/eV/f.u.
- Space-group type: Cmcm

Unit cell a=4.007 b=4.007 c=5.265 alpha=90.00 beta=90.00 gamma=117.83
Fractional positions:
Li 0.188 0.812 0.750
Li 0.812 0.188 0.250
Zr 0.158 0.842 0.250
Zr 0.842 0.158 0.750
B 0.500 0.500 0.000
B 0.500 0.500 0.500



Verdict on stability: entry b comes out at the bottom.



Entry a
VASP calculation (GGA-PBE) on an optimized crystal structure of LiZrB.

Results
- Total moment: 0.00 μB/f.u.
- Calculated density: 3.90 g cm⁻³
- Fermi-level density of states: 0.000 states/eV/f.u.
- Space-group type: Pnma

Unit cell a=7.628 b=4.080 c=5.971 alpha=90.00 beta=90.00 gamma=90.00
Fractional positions:
Li 0.066 0.250 0.143
Li 0.434 0.750 0.643
Li 0.566 0.250 0.357
Li 0.934 0.750 0.857
Zr 0.155 0.250 0.610
Zr 0.345 0.750 0.110
Zr 0.655 0.250 0.890
Zr 0.845 0.750 0.390
B 0.151 0.750 0.410
B 0.349 0.250 0.910
B 0.651 0.750 0.090
B 0.849 0.250 0.590



Entry b
VASP calculation (GGA-PBE) on an optimized crystal structure of LiZrB.

Results
- Total moment: 0.00 μB/f.u.
- Calculated density: 3.43 g cm⁻³
- Fermi-level density of states: 3.169 states/eV/f.u.
- Space-group type: P6_3/mmc

Unit cell a=3.596 b=3.596 c=9.428 alpha=90.00 beta=90.00 gamma=120.00
Fractional positions:
Li 0.333 0.667 0.250
Li 0.667 0.333 0.750
Zr 0.000 0.000 0.000
Zr 0.000 0.000 0.500
B 0.000 0.000 0.250
B 0.000 0.000 0.750



Entry c
VASP calculation (GGA-PBE) on an optimized crystal structure of LiZrB.

Results
- Total moment: 0.00 μB/f.u.
- Calculated density: 4.18 g cm⁻³
- Fermi-level density of states: 0.214 states/eV/f.u.
- Space-group type: F-43m

Unit cell a=3.941 b=3.941 c=3.941 alpha=60.00 beta=60.00 gamma=60.00
Fractional positions:
Li 0.000 0.000 0.000
Zr 0.500 0.500 0.500
B 0.250 0.250 0.250



Verdict on stability: entry b comes out at the bottom.



Entry a
VASP calculation (GGA-PBE) on an optimized crystal structure of LiZrB.

Results
- Total moment: 0.00 μB/f.u.
- Calculated density: 3.60 g cm⁻³
- Fermi-level density of states: 2.509 states/eV/f.u.
- Space-group type: P-3m1

Unit cell a=3.176 b=3.176 c=11.504 alpha=90.00 beta=90.00 gamma=120.00
Fractional positions:
Li 0.333 0.667 0.385
Li 0.667 0.333 0.615
Zr 0.000 0.000 0.149
Zr 0.000 0.000 0.851
B 0.333 0.667 0.000
B 0.667 0.333 0.000



Entry b
VASP calculation (GGA-PBE) on an optimized crystal structure of LiZrB.

Results
- Total moment: 0.00 μB/f.u.
- Calculated density: 4.47 g cm⁻³
- Fermi-level density of states: 0.599 states/eV/f.u.
- Space-group type: Pnma

Unit cell a=6.131 b=3.569 c=7.400 alpha=90.00 beta=90.00 gamma=90.00
Fractional positions:
Li 0.128 0.250 0.047
Li 0.372 0.750 0.547
Li 0.628 0.250 0.453
Li 0.872 0.750 0.953
Zr 0.057 0.250 0.676
Zr 0.443 0.750 0.176
Zr 0.557 0.250 0.824
Zr 0.943 0.750 0.324
B 0.223 0.250 0.366
B 0.277 0.750 0.866
B 0.723 0.250 0.134
B 0.777 0.750 0.634



Verdict on stability: entry b comes out at the bottom.



Entry a
VASP calculation (GGA-PBE) on an optimized crystal structure of LiZrB.

Results
- Total moment: 0.00 μB/f.u.
- Calculated density: 3.63 g cm⁻³
- Fermi-level density of states: 2.995 states/eV/f.u.
- Space-group type: P-6m2

Unit cell a=3.560 b=3.560 c=9.091 alpha=90.00 beta=90.00 gamma=120.00
Fractional positions:
Li 0.000 0.000 0.000
Li 0.000 0.000 0.500
Zr 0.333 0.667 0.222
Zr 0.333 0.667 0.778
B 0.667 0.333 0.092
B 0.667 0.333 0.908



Entry b
VASP calculation (GGA-PBE) on an optimized crystal structure of LiZrB.

Results
- Total moment: 0.00 μB/f.u.
- Calculated density: 4.06 g cm⁻³
- Fermi-level density of states: 1.949 states/eV/f.u.
- Space-group type: P1

Unit cell a=3.083 b=4.998 c=6.095 alpha=78.73 beta=75.44 gamma=89.99
Fractional positions:
Li 0.000 0.000 0.000
Li 0.283 0.914 0.429
Zr 0.442 0.482 0.118
Zr 0.691 0.374 0.617
B 0.108 0.696 0.784
B 0.620 0.826 0.759



Entry c
VASP calculation (GGA-PBE) on an optimized crystal structure of LiZrB.

Results
- Total moment: 0.00 μB/f.u.
- Calculated density: 4.57 g cm⁻³
- Fermi-level density of states: 0.386 states/eV/f.u.
- Space-group type: P6_3/mmc

Unit cell a=4.238 b=4.238 c=5.089 alpha=90.00 beta=90.00 gamma=120.00
Fractional positions:
Li 0.000 0.000 0.000
Li 0.000 0.000 0.500
Zr 0.333 0.667 0.250
Zr 0.667 0.333 0.750
B 0.333 0.667 0.750
B 0.667 0.333 0.250



Entry d
VASP calculation (GGA-PBE) on an optimized crystal structure of LiZrB.

Results
- Total moment: 0.00 μB/f.u.
- Calculated density: 3.86 g cm⁻³
- Fermi-level density of states: 2.466 states/eV/f.u.
- Space-group type: Cm

Unit cell a=4.732 b=4.732 c=6.861 alpha=98.69 beta=98.69 gamma=38.21
Fractional positions:
Li 0.000 0.000 0.000
Li 0.732 0.732 0.128
Zr 0.240 0.240 0.719
Zr 0.466 0.466 0.425
B 0.172 0.172 0.364
B 0.745 0.745 0.437



Verdict on stability: entry a comes out at the bottom.



Entry a
VASP calculation (GGA-PBE) on an optimized crystal structure of LiZrB3.

Results
- Total moment: 0.00 μB/f.u.
- Calculated density: 2.42 g cm⁻³
- Fermi-level density of states: 1.967 states/eV/f.u.
- Space-group type: Pm-3m

Unit cell a=4.477 b=4.477 c=4.477 alpha=90.00 beta=90.00 gamma=90.00
Fractional positions:
Li 0.000 0.000 0.000
Zr 0.500 0.500 0.500
B 0.000 0.500 0.500
B 0.500 0.000 0.500
B 0.500 0.500 0.000



Entry b
VASP calculation (GGA-PBE) on an optimized crystal structure of LiZrB3.

Results
- Total moment: 0.00 μB/f.u.
- Calculated density: 4.24 g cm⁻³
- Fermi-level density of states: 1.071 states/eV/f.u.
- Space-group type: Pm-3m

Unit cell a=3.712 b=3.712 c=3.712 alpha=90.00 beta=90.00 gamma=90.00
Fractional positions:
Li 0.000 0.000 0.000
Zr 0.500 0.500 0.500
B 0.000 0.000 0.500
B 0.000 0.500 0.000
B 0.500 0.000 0.000



Verdict on stability: entry a comes out at the bottom.



Entry a
VASP calculation (GGA-PBE) on an optimized crystal structure of Li3ZrB.

Results
- Total moment: 0.00 μB/f.u.
- Calculated density: 2.91 g cm⁻³
- Fermi-level density of states: 0.504 states/eV/f.u.
- Space-group type: Pm-3m

Unit cell a=4.123 b=4.123 c=4.123 alpha=90.00 beta=90.00 gamma=90.00
Fractional positions:
Li 0.000 0.000 0.500
Li 0.000 0.500 0.000
Li 0.500 0.000 0.000
Zr 0.500 0.500 0.500
B 0.000 0.000 0.000



Entry b
VASP calculation (GGA-PBE) on an optimized crystal structure of Li3ZrB.

Results
- Total moment: 3.40 μB/f.u.
- Calculated density: 1.42 g cm⁻³
- Fermi-level density of states: 5.776 states/eV/f.u.
- Space-group type: Pm-3m

Unit cell a=5.240 b=5.240 c=5.240 alpha=90.00 beta=90.00 gamma=90.00
Fractional positions:
Li 0.000 0.000 0.500
Li 0.000 0.500 0.000
Li 0.500 0.000 0.000
Zr 0.000 0.000 0.000
B 0.500 0.500 0.500



Verdict on stability: entry b comes out at the bottom.



Entry a
VASP calculation (GGA-PBE) on an optimized crystal structure of LuB6.

Results
- Total moment: 0.00 μB/f.u.
- Calculated density: 6.47 g cm⁻³
- Fermi-level density of states: 3.491 states/eV/f.u.
- Space-group type: Im-3m

Unit cell a=4.308 b=4.308 c=4.308 alpha=109.47 beta=109.47 gamma=109.47
Fractional positions:
Lu 0.000 0.000 0.000
B 0.250 0.500 0.750
B 0.250 0.750 0.500
B 0.500 0.250 0.750
B 0.500 0.750 0.250
B 0.750 0.250 0.500
B 0.750 0.500 0.250



Entry b
VASP calculation (GGA-PBE) on an optimized crystal structure of LuB6.

Results
- Total moment: 0.00 μB/f.u.
- Calculated density: 5.88 g cm⁻³
- Fermi-level density of states: 2.578 states/eV/f.u.
- Space-group type: Pm-3m

Unit cell a=4.076 b=4.076 c=4.076 alpha=90.00 beta=90.00 gamma=90.00
Fractional positions:
Lu 0.000 0.000 0.000
B 0.198 0.500 0.500
B 0.500 0.198 0.500
B 0.500 0.500 0.198
B 0.500 0.500 0.802
B 0.500 0.802 0.500
B 0.802 0.500 0.500



Verdict on stability: entry a comes out at the bottom.